Model a:
Na2IrO4 | PBE | relaxed

Cell lengths 6.4300, 6.4300, 6.4300 Å; angles 119.99, 90.01, 119.99 degrees
Last column: magnetic moment on the atom in μB.
Positions (direct):
1 O 0.1162 0.7674 0.8836  0.13
2 O 0.6336 0.2674 0.3662  0.12
3 O 0.6512 0.7674 0.8838  0.13
4 O 0.6338 0.7326 0.3664  0.13
5 O 0.1162 0.2326 0.3488  0.12
6 O 0.6338 0.2674 0.9012  0.12
7 O 0.0988 0.7326 0.3662  0.13
8 O 0.1164 0.2326 0.8838  0.12
9 Na 0.3750 0.2500 0.6250  0.00
10 Na 0.8750 0.2500 0.6250  0.00
11 Na 0.3750 0.7500 0.6250  0.00
12 Na 0.3750 0.7500 0.1250  0.00
13 Ir 0.0000 0.0000 0.0000  0.39
14 Ir 0.7500 0.5000 0.2500  0.39

Results
- total magnetic moment (μB/atom) = 0.143
- space-group type = Fd-3m (227)

Model b:
Na2IrO4 | PBE | relaxed

Cell lengths 9.5522, 9.5522, 3.1241 Å; angles 90.00, 90.00, 120.00 degrees
Last column: magnetic moment on the atom in μB.
Positions (direct):
1 O 0.4360 0.2122 0.0000  0.20
2 O 0.7878 0.2238 0.0000  0.20
3 O 0.2238 0.7878 0.0000  0.19
4 O 0.0000 0.8085 0.5000  -0.01
5 O 0.4576 0.4576 0.5000  -0.01
6 O 0.0000 0.5424 0.5000  -0.03
7 O 0.1915 0.1915 0.5000  0.00
8 O 0.2122 0.4360 0.0000  0.20
9 O 0.5640 0.7762 0.0000  0.20
10 O 0.7762 0.5640 0.0000  0.19
11 O 0.8085 0.0000 0.5000  0.00
12 O 0.5424 0.0000 0.5000  -0.01
13 Na 0.3333 0.6667 0.5000  0.01
14 Na 0.6667 0.3333 0.5000  0.01
15 Na 0.0000 0.0000 0.0000  0.00
16 Na 0.0000 0.3066 0.5000  0.01
17 Na 0.6934 0.6934 0.5000  0.01
18 Na 0.3066 0.0000 0.5000  0.01
19 Ir 0.3290 0.3290 0.0000  0.53
20 Ir 0.6710 0.0000 0.0000  0.51
21 Ir 0.0000 0.6710 0.0000  0.44

Results
- total magnetic moment (μB/atom) = 0.143
- space-group type = P-62m (189)

Stability, lowest: model a

Model a:
NaIrSO | PBE | relaxed

Cell lengths 6.0680, 8.2089, 5.6218 Å; angles 90.00, 90.00, 90.00 degrees
Positions (direct):
1 S 0.5905 0.4171 0.1278
2 S 0.4095 0.5829 0.6278
3 S 0.0905 0.5829 0.1278
4 S 0.9095 0.4171 0.6278
5 O 0.0502 0.1361 0.1027
6 O 0.5502 0.8639 0.1027
7 O 0.4498 0.1361 0.6027
8 O 0.9498 0.8639 0.6027
9 Ir 0.0643 0.6583 0.5119
10 Ir 0.9357 0.3417 0.0119
11 Ir 0.5643 0.3417 0.5119
12 Ir 0.4357 0.6583 0.0119
13 Na 0.9126 0.8890 0.0077
14 Na 0.4126 0.1110 0.0077
15 Na 0.0874 0.1110 0.5077
16 Na 0.5874 0.8890 0.5077

Results
- total magnetic moment (μB/atom) = 0.000
- space-group type = Pca2_1 (29)

Model b:
NaIrSO | PBE | relaxed

Cell lengths 5.0822, 5.0345, 9.6920 Å; angles 90.00, 90.65, 90.00 degrees
Positions (direct):
1 Na 0.7605 0.2609 0.4187
2 Na 0.2394 0.7609 0.5813
3 Na 0.2551 0.6585 0.2716
4 Na 0.7449 0.1585 0.7284
5 O 0.8517 0.8918 0.9356
6 O 0.3549 0.9374 0.0639
7 O 0.1483 0.3918 0.0644
8 O 0.6451 0.4374 0.9361
9 Ir 0.4589 0.8057 0.8768
10 Ir 0.0342 0.5216 0.8757
11 Ir 0.9658 0.0216 0.1243
12 Ir 0.5411 0.3057 0.1232
13 S 0.7444 0.6575 0.6712
14 S 0.2556 0.1575 0.3288
15 S 0.7540 0.6666 0.2232
16 S 0.2460 0.1666 0.7768

Results
- total magnetic moment (μB/atom) = 0.000
- space-group type = P2_1 (4)

Model c:
NaIrSO | PBE | relaxed

Cell lengths 6.2698, 6.7954, 5.9956 Å; angles 90.00, 108.48, 90.00 degrees
Positions (direct):
1 O 0.6452 0.1356 0.6359
2 O 0.6452 0.3644 0.1359
3 O 0.3548 0.6356 0.8641
4 O 0.3548 0.8644 0.3641
5 Na 0.9185 0.2233 0.9983
6 Na 0.0815 0.7233 0.5017
7 Na 0.9185 0.2767 0.4983
8 Na 0.0815 0.7767 0.0017
9 S 0.7130 0.8882 0.1485
10 S 0.7130 0.6118 0.6485
11 S 0.2870 0.3882 0.3515
12 S 0.2870 0.1118 0.8515
13 Ir 0.5186 0.8777 0.7462
14 Ir 0.4814 0.1223 0.2538
15 Ir 0.5186 0.6223 0.2462
16 Ir 0.4814 0.3777 0.7538

Results
- total magnetic moment (μB/atom) = 0.000
- space-group type = P2_1/c (14)

Stability, lowest: model b

Model a:
NaIrSO | PBE | relaxed

Cell lengths 3.7151, 6.9079, 5.8766 Å; angles 90.00, 90.00, 90.00 degrees
Positions (direct):
1 O 0.5000 0.8892 0.7058
2 O 0.5000 0.1108 0.2058
3 Ir 0.5000 0.8547 0.0400
4 Ir 0.5000 0.1453 0.5400
5 S 0.0000 0.6926 0.1324
6 S 0.0000 0.3074 0.6324
7 Na 0.0000 0.7110 0.6127
8 Na 0.0000 0.2890 0.1127

Results
- total magnetic moment (μB/atom) = 0.000
- space-group type = Pmc2_1 (26)

Model b:
NaIrSO | PBE | relaxed

Cell lengths 3.6563, 3.6563, 8.3898 Å; angles 90.00, 90.00, 90.00 degrees
Positions (direct):
1 O 0.2500 0.7500 0.0000
2 O 0.7500 0.2500 0.0000
3 Ir 0.2500 0.2500 0.1437
4 Ir 0.7500 0.7500 0.8563
5 S 0.7500 0.7500 0.2653
6 S 0.2500 0.2500 0.7347
7 Na 0.2500 0.7500 0.5000
8 Na 0.7500 0.2500 0.5000

Results
- total magnetic moment (μB/atom) = 0.008
- space-group type = P4/nmm (129)

Stability, lowest: model b

Model a:
Na2ScIrO6 | PBE | relaxed

Cell lengths 5.4354, 5.4983, 9.4688 Å; angles 90.00, 124.95, 90.00 degrees
Last column: magnetic moment on the atom in μB.
Positions (direct):
1 O 0.3128 0.4832 0.2394  0.03
2 O 0.1527 0.2153 0.9613  0.02
3 O 0.1527 0.2847 0.4613  0.02
4 O 0.7516 0.3056 0.0369  0.03
5 O 0.2484 0.8056 0.4631  0.03
6 O 0.7516 0.1944 0.5369  0.03
7 O 0.8473 0.7847 0.0387  0.02
8 O 0.6872 0.9832 0.2606  0.03
9 O 0.3128 0.0168 0.7394  0.03
10 O 0.2484 0.6944 0.9631  0.03
11 O 0.6872 0.5168 0.7606  0.03
12 O 0.8473 0.7153 0.5387  0.02
13 Ir 0.0000 0.5000 0.0000  0.20
14 Ir 0.0000 0.0000 0.5000  0.19
15 Sc 0.5000 0.5000 0.5000  0.00
16 Sc 0.5000 0.0000 0.0000  0.00
17 Na 0.7554 0.9651 0.7498  0.00
18 Na 0.2446 0.4651 0.7502  0.00
19 Na 0.7554 0.5349 0.2498  0.00
20 Na 0.2446 0.0349 0.2502  0.00

Results
- total magnetic moment (μB/atom) = 0.040
- space-group type = P2_1/c (14)

Model b:
Na2ScIrO6 | PBE | relaxed

Cell lengths 5.5191, 5.5191, 5.5191 Å; angles 120.93, 120.93, 88.39 degrees
Last column: magnetic moment on the atom in μB.
Positions (direct):
1 Ir 0.0000 0.0000 0.0000  0.12
2 O 0.2405 0.2405 0.0000  0.02
3 O 0.7595 0.7595 0.0000  0.02
4 O 0.1795 0.2992 0.4787  0.01
5 O 0.8205 0.7008 0.5213  0.01
6 O 0.7008 0.1795 0.8803  0.01
7 O 0.2992 0.8205 0.1197  0.01
8 Na 0.2500 0.7500 0.5000  0.00
9 Na 0.7500 0.2500 0.5000  0.00
10 Sc 0.5000 0.5000 0.0000  0.00

Results
- total magnetic moment (μB/atom) = 0.025
- space-group type = I4/m (87)

Stability, lowest: model b

Model a:
NaTeIrO | PBE | relaxed

Cell lengths 3.9240, 7.0090, 5.6887 Å; angles 90.00, 90.00, 90.00 degrees
Positions (direct):
1 Ir 0.5000 0.0003 0.9368
2 Ir 0.5000 0.9997 0.4368
3 Te 0.0000 0.1788 0.6850
4 Te 0.0000 0.8212 0.1850
5 O 0.5000 0.7831 0.6871
6 O 0.5000 0.2169 0.1871
7 Na 0.0000 0.6389 0.6820
8 Na 0.0000 0.3611 0.1820

Results
- total magnetic moment (μB/atom) = 0.001
- space-group type = Pmc2_1 (26)

Model b:
NaTeIrO | PBE | relaxed

Cell lengths 3.8229, 3.8229, 9.2656 Å; angles 90.00, 90.00, 90.00 degrees
Positions (direct):
1 Te 0.7500 0.7500 0.2433
2 Te 0.2500 0.2500 0.7567
3 O 0.7500 0.2500 0.0000
4 O 0.2500 0.7500 0.0000
5 Ir 0.2500 0.2500 0.1302
6 Ir 0.7500 0.7500 0.8698
7 Na 0.2500 0.7500 0.5000
8 Na 0.7500 0.2500 0.5000

Results
- total magnetic moment (μB/atom) = 0.001
- space-group type = P4/nmm (129)

Stability, lowest: model b

Model a:
NaIrOs | PBE | relaxed

Cell lengths 4.2230, 4.2230, 4.2230 Å; angles 60.00, 60.00, 60.00 degrees
Positions (direct):
1 Na 0.2500 0.2500 0.2500
2 Os 0.7500 0.7500 0.7500
3 Ir 0.0000 0.0000 0.0000

Results
- total magnetic moment (μB/atom) = 0.001
- space-group type = F-43m (216)

Model b:
NaIrOs | PBE | relaxed

Cell lengths 4.2332, 4.2332, 4.2332 Å; angles 60.00, 60.00, 60.00 degrees
Positions (direct):
1 Os 0.7500 0.7500 0.7500
2 Ir 0.2500 0.2500 0.2500
3 Na 0.0000 0.0000 0.0000

Results
- total magnetic moment (μB/atom) = 0.995
- space-group type = F-43m (216)

Stability, lowest: model b

Model a:
NaSnIrPb | PBE | relaxed

Cell lengths 5.0119, 5.0119, 5.0119 Å; angles 60.00, 60.00, 60.00 degrees
Positions (direct):
1 Ir 0.5000 0.5000 0.5000
2 Sn 0.0000 0.0000 0.0000
3 Na 0.7500 0.7500 0.7500
4 Pb 0.2500 0.2500 0.2500

Results
- total magnetic moment (μB/atom) = 0.001
- space-group type = F-43m (216)

Model b:
NaSnIrPb | PBE | relaxed

Cell lengths 4.8713, 4.8713, 4.8713 Å; angles 60.00, 60.00, 60.00 degrees
Positions (direct):
1 Sn 0.0000 0.0000 0.0000
2 Na 0.7500 0.7500 0.7500
3 Ir 0.2500 0.2500 0.2500
4 Pb 0.5000 0.5000 0.5000

Results
- total magnetic moment (μB/atom) = 0.001
- space-group type = F-43m (216)

Stability, lowest: model a

Model a:
NaIrPd | PBE | relaxed

Cell lengths 4.2700, 4.2700, 4.2700 Å; angles 60.00, 60.00, 60.00 degrees
Positions (direct):
1 Ir 0.2500 0.2500 0.2500
2 Na 0.0000 0.0000 0.0000
3 Pd 0.7500 0.7500 0.7500

Results
- total magnetic moment (μB/atom) = 0.213
- space-group type = F-43m (216)

Model b:
NaIrPd | PBE | relaxed

Cell lengths 4.3515, 4.3515, 4.3515 Å; angles 60.00, 60.00, 60.00 degrees
Positions (direct):
1 Pd 0.0000 0.0000 0.0000
2 Ir 0.2500 0.2500 0.2500
3 Na 0.7500 0.7500 0.7500

Results
- total magnetic moment (μB/atom) = 0.605
- space-group type = F-43m (216)

Stability, lowest: model a

Model a:
NaPrIr | PBE | relaxed

Cell lengths 4.8138, 4.8138, 4.8138 Å; angles 60.00, 60.00, 60.00 degrees
Positions (direct):
1 Na 0.7500 0.7500 0.7500
2 Pr 0.2500 0.2500 0.2500
3 Ir 0.0000 0.0000 0.0000

Results
- total magnetic moment (μB/atom) = 0.003
- space-group type = F-43m (216)

Model b:
NaPrIr | PBE | relaxed

Cell lengths 4.8122, 4.8122, 4.8122 Å; angles 60.00, 60.00, 60.00 degrees
Positions (direct):
1 Na 0.7500 0.7500 0.7500
2 Ir 0.2500 0.2500 0.2500
3 Pr 0.0000 0.0000 0.0000

Results
- total magnetic moment (μB/atom) = 0.005
- space-group type = F-43m (216)

Stability, lowest: model b

Model a:
NaScSbIr | PBE | relaxed

Cell lengths 4.7875, 4.7875, 4.7875 Å; angles 60.00, 60.00, 60.00 degrees
Positions (direct):
1 Ir 0.0000 0.0000 0.0000
2 Sc 0.2500 0.2500 0.2500
3 Sb 0.5000 0.5000 0.5000
4 Na 0.7500 0.7500 0.7500

Results
- total magnetic moment (μB/atom) = 0.001
- space-group type = F-43m (216)

Model b:
NaScSbIr | PBE | relaxed

Cell lengths 4.6861, 4.6861, 4.6861 Å; angles 60.00, 60.00, 60.00 degrees
Positions (direct):
1 Na 0.7500 0.7500 0.7500
2 Ir 0.2500 0.2500 0.2500
3 Sb 0.5000 0.5000 0.5000
4 Sc 0.0000 0.0000 0.0000

Results
- total magnetic moment (μB/atom) = 0.000
- space-group type = F-43m (216)

Stability, lowest: model a

Model a:
NaTlSbIr | PBE | relaxed

Cell lengths 4.9704, 4.9704, 4.9704 Å; angles 60.00, 60.00, 60.00 degrees
Positions (direct):
1 Ir 0.5000 0.5000 0.5000
2 Na 0.7500 0.7500 0.7500
3 Tl 0.2500 0.2500 0.2500
4 Sb 0.0000 0.0000 0.0000

Results
- total magnetic moment (μB/atom) = 0.000
- space-group type = F-43m (216)

Model b:
NaTlSbIr | PBE | relaxed

Cell lengths 4.8518, 4.8518, 4.8518 Å; angles 60.00, 60.00, 60.00 degrees
Positions (direct):
1 Ir 0.2500 0.2500 0.2500
2 Tl 0.5000 0.5000 0.5000
3 Sb 0.0000 0.0000 0.0000
4 Na 0.7500 0.7500 0.7500

Results
- total magnetic moment (μB/atom) = 0.003
- space-group type = F-43m (216)

Stability, lowest: model a

Model a:
NaYSbIr | PBE | relaxed

Cell lengths 4.9748, 4.9748, 4.9748 Å; angles 60.00, 60.00, 60.00 degrees
Positions (direct):
1 Ir 0.5000 0.5000 0.5000
2 Sb 0.0000 0.0000 0.0000
3 Y 0.2500 0.2500 0.2500
4 Na 0.7500 0.7500 0.7500

Results
- total magnetic moment (μB/atom) = 0.001
- space-group type = F-43m (216)

Model b:
NaYSbIr | PBE | relaxed

Cell lengths 4.8259, 4.8259, 4.8259 Å; angles 60.00, 60.00, 60.00 degrees
Positions (direct):
1 Na 0.7500 0.7500 0.7500
2 Y 0.5000 0.5000 0.5000
3 Sb 0.0000 0.0000 0.0000
4 Ir 0.2500 0.2500 0.2500

Results
- total magnetic moment (μB/atom) = 0.000
- space-group type = F-43m (216)

Stability, lowest: model a